Crystalline LiCu2I at its relaxed geometry, computed with GGA-PBE.

CIF file:
```
data_LiCu2I
_chemical_formula_sum 'Li4 Cu8 I4'
_space_group_name_H-M_alt 'I -4 2 d'
_space_group_IT_number 122
_space_group_name_Hall 'I -4 2bw'
_cell_length_a 3.7893
_cell_length_b 3.7893
_cell_length_c 20.5068
_cell_angle_alpha 90.00
_cell_angle_beta 90.00
_cell_angle_gamma 90.00
loop_
_atom_site_label
_atom_site_fract_x
_atom_site_fract_y
_atom_site_fract_z
Li1 0.0000 0.0000 0.0000
Cu1 0.2283 0.2500 0.1250
I1 0.0000 0.0000 0.5000
```

Magnetization, μB/cell: 0.00
DFT total energy, eV for the cell shown: -45.1

***

Crystalline LiMnCuI2 at its relaxed geometry, computed with GGA-PBE.

CIF file:
```
data_LiMnCuI2
_chemical_formula_sum 'Li1 Mn1 Cu1 I2'
_space_group_name_H-M_alt 'P 4/m m m'
_space_group_IT_number 123
_space_group_name_Hall '-P 4 2'
_cell_length_a 5.6581
_cell_length_b 5.6581
_cell_length_c 4.7568
_cell_angle_alpha 90.00
_cell_angle_beta 90.00
_cell_angle_gamma 90.00
loop_
_atom_site_label
_atom_site_fract_x
_atom_site_fract_y
_atom_site_fract_z
Li1 0.0000 0.0000 0.0000
Mn1 0.5000 0.5000 0.0000
Cu1 0.5000 0.5000 0.5000
I1 0.0000 0.5000 0.5000
```

Magnetization, μB/cell: 4.98
DFT total energy, eV for the cell shown: -17.1

***

Crystalline LiMnCu2I6 at its relaxed geometry, computed with GGA-PBE.

CIF file:
```
data_LiMnCu2I6
_chemical_formula_sum 'Li4 Mn4 Cu8 I24'
_space_group_name_H-M_alt 'C 1 2/c 1'
_space_group_IT_number 15
_cell_length_a 13.6192
_cell_length_b 12.7361
_cell_length_c 7.2845
_cell_angle_alpha 90.00
_cell_angle_beta 100.76
_cell_angle_gamma 90.00
loop_
_space_group_symop_operation_xyz
'x,y,z'
'-x,-y,-z'
'-x,y,-z+1/2'
'x,-y,z+1/2'
'x+1/2,y+1/2,z'
'-x+1/2,-y+1/2,-z'
'-x+1/2,y+1/2,-z+1/2'
'x+1/2,-y+1/2,z+1/2'
loop_
_atom_site_label
_atom_site_fract_x
_atom_site_fract_y
_atom_site_fract_z
Li1 0.0000 0.0870 0.2500
Mn1 0.0000 0.2574 0.7500
Cu1 0.1794 0.4125 0.2986
I1 0.1182 0.2480 0.1017
I2 0.1216 0.0908 0.6322
I3 0.1294 0.4110 0.6279
```

Magnetization, μB/cell: 15.89
DFT total energy, eV for the cell shown: -130.9

***

Crystalline LiCuI2N at its relaxed geometry, computed with GGA-PBE.

CIF file:
```
data_LiCuI2N
_chemical_formula_sum 'Li1 Cu1 I2 N1'
_space_group_name_H-M_alt 'P 4/m m m'
_space_group_IT_number 123
_space_group_name_Hall '-P 4 2'
_cell_length_a 5.3499
_cell_length_b 5.3499
_cell_length_c 3.7153
_cell_angle_alpha 90.00
_cell_angle_beta 90.00
_cell_angle_gamma 90.00
loop_
_atom_site_label
_atom_site_fract_x
_atom_site_fract_y
_atom_site_fract_z
Li1 0.0000 0.0000 0.0000
Cu1 0.5000 0.5000 0.5000
I1 0.0000 0.5000 0.0000
N1 0.0000 0.0000 0.5000
```

Magnetization, μB/cell: 0.00
DFT total energy, eV for the cell shown: -12.5

***

Crystalline LiCuIN2 at its relaxed geometry, computed with GGA-PBE.

CIF file:
```
data_LiCuIN2
_chemical_formula_sum 'Li1 Cu1 I1 N2'
_space_group_name_H-M_alt 'P 4/m m m'
_space_group_IT_number 123
_space_group_name_Hall '-P 4 2'
_cell_length_a 3.7273
_cell_length_b 3.7273
_cell_length_c 5.8837
_cell_angle_alpha 90.00
_cell_angle_beta 90.00
_cell_angle_gamma 90.00
loop_
_atom_site_label
_atom_site_fract_x
_atom_site_fract_y
_atom_site_fract_z
Li1 0.0000 0.0000 0.0000
Cu1 0.5000 0.5000 0.5000
I1 0.0000 0.0000 0.5000
N1 0.0000 0.5000 0.0000
```

Magnetization, μB/cell: 0.24
DFT total energy, eV for the cell shown: -15.4

***

Crystalline LiCuIN2 at its relaxed geometry, computed with GGA-PBE.

CIF file:
```
data_LiCuIN2
_chemical_formula_sum 'Li1 Cu1 I1 N2'
_space_group_name_H-M_alt 'P 4/m m m'
_space_group_IT_number 123
_space_group_name_Hall '-P 4 2'
_cell_length_a 3.8303
_cell_length_b 3.8303
_cell_length_c 6.9057
_cell_angle_alpha 90.00
_cell_angle_beta 90.00
_cell_angle_gamma 90.00
loop_
_atom_site_label
_atom_site_fract_x
_atom_site_fract_y
_atom_site_fract_z
Li1 0.0000 0.0000 0.0000
Cu1 0.5000 0.5000 0.5000
I1 0.5000 0.5000 0.0000
N1 0.0000 0.5000 0.5000
```

Magnetization, μB/cell: 3.69
DFT total energy, eV for the cell shown: -19.3

***

Crystalline LiCuI2N at its relaxed geometry, computed with GGA-PBE.

CIF file:
```
data_LiCuI2N
_chemical_formula_sum 'Li1 Cu1 I2 N1'
_space_group_name_H-M_alt 'P 4/m m m'
_space_group_IT_number 123
_space_group_name_Hall '-P 4 2'
_cell_length_a 5.6909
_cell_length_b 5.6909
_cell_length_c 3.7384
_cell_angle_alpha 90.00
_cell_angle_beta 90.00
_cell_angle_gamma 90.00
loop_
_atom_site_label
_atom_site_fract_x
_atom_site_fract_y
_atom_site_fract_z
Li1 0.0000 0.0000 0.0000
Cu1 0.5000 0.5000 0.5000
I1 0.0000 0.5000 0.5000
N1 0.5000 0.5000 0.0000
```

Magnetization, μB/cell: 2.13
DFT total energy, eV for the cell shown: -16.0

***

Crystalline Na2LiCuI4 at its relaxed geometry, computed with GGA-PBE.

CIF file:
```
data_Na2LiCuI4
_chemical_formula_sum 'Na8 Li4 Cu4 I16'
_space_group_name_H-M_alt 'I m m a'
_space_group_IT_number 74
_space_group_name_Hall '-I 2b 2'
_cell_length_a 9.2265
_cell_length_b 9.5363
_cell_length_c 11.7515
_cell_angle_alpha 90.00
_cell_angle_beta 90.00
_cell_angle_gamma 90.00
loop_
_atom_site_label
_atom_site_fract_x
_atom_site_fract_y
_atom_site_fract_z
Na1 0.0000 0.0000 0.0000
Na2 0.2500 0.2500 0.2500
Li1 0.0000 0.0000 0.5000
Cu1 0.2500 0.2500 0.7500
I1 0.0000 0.0248 0.2636
I2 0.2468 0.2500 0.5370
```

Magnetization, μB/cell: 0.00
DFT total energy, eV for the cell shown: -87.6

***

Crystalline NaLiCuI2 at its relaxed geometry, computed with GGA-PBE.

CIF file:
```
data_NaLiCuI2
_chemical_formula_sum 'Na1 Li1 Cu1 I2'
_space_group_name_H-M_alt 'P 4/m m m'
_space_group_IT_number 123
_space_group_name_Hall '-P 4 2'
_cell_length_a 5.6044
_cell_length_b 5.6044
_cell_length_c 4.6643
_cell_angle_alpha 90.00
_cell_angle_beta 90.00
_cell_angle_gamma 90.00
loop_
_atom_site_label
_atom_site_fract_x
_atom_site_fract_y
_atom_site_fract_z
Na1 0.0000 0.0000 0.0000
Li1 0.5000 0.5000 0.5000
Cu1 0.5000 0.5000 0.0000
I1 0.0000 0.5000 0.5000
```

Magnetization, μB/cell: 0.00
DFT total energy, eV for the cell shown: -11.9

***

Crystalline NaLiCu2I4 at its relaxed geometry, computed with GGA-PBE.

CIF file:
```
data_NaLiCu2I4
_chemical_formula_sum 'Na2 Li2 Cu4 I8'
_space_group_name_H-M_alt 'I -4 2 m'
_space_group_IT_number 121
_space_group_name_Hall 'I -4 2'
_cell_length_a 6.3368
_cell_length_b 6.3368
_cell_length_c 13.0817
_cell_angle_alpha 90.00
_cell_angle_beta 90.00
_cell_angle_gamma 90.00
loop_
_atom_site_label
_atom_site_fract_x
_atom_site_fract_y
_atom_site_fract_z
Na1 0.0000 0.0000 0.0000
Li1 0.0000 0.0000 0.5000
Cu1 0.0000 0.5000 0.2500
I1 0.2324 0.2324 0.3591
```

Magnetization, μB/cell: 0.00
DFT total energy, eV for the cell shown: -45.6

***

Crystalline LiNpCuI6 at its relaxed geometry, computed with GGA-PBE.

CIF file:
```
data_LiNpCuI6
_chemical_formula_sum 'Li2 Np2 Cu2 I12'
_space_group_name_H-M_alt 'P 42 n m'
_space_group_IT_number 102
_cell_length_a 7.1421
_cell_length_b 7.1421
_cell_length_c 12.8748
_cell_angle_alpha 90.00
_cell_angle_beta 90.00
_cell_angle_gamma 90.00
loop_
_space_group_symop_operation_xyz
'x,y,z'
'-y+1/2,x+1/2,z+1/2'
'-x,-y,z'
'y+1/2,-x+1/2,z+1/2'
'-x+1/2,y+1/2,z+1/2'
'y,x,z'
'x+1/2,-y+1/2,z+1/2'
'-y,-x,z'
loop_
_atom_site_label
_atom_site_fract_x
_atom_site_fract_y
_atom_site_fract_z
Li1 0.0000 0.0000 0.0000
Np1 0.0000 0.0000 0.6698
Cu1 0.0000 0.0000 0.3559
I1 0.1983 0.1983 0.1748
I2 0.2000 0.2000 0.4954
I3 0.2075 0.2075 0.8373
```

Magnetization, μB/cell: 5.95
DFT total energy, eV for the cell shown: -68.2

***

Crystalline LiNpCu2I8 at its relaxed geometry, computed with GGA-PBE.

CIF file:
```
data_LiNpCu2I8
_chemical_formula_sum 'Li2 Np2 Cu4 I16'
_space_group_name_H-M_alt 'I -4 m 2'
_space_group_IT_number 119
_space_group_name_Hall 'I -4 -2'
_cell_length_a 9.8849
_cell_length_b 9.8849
_cell_length_c 9.1993
_cell_angle_alpha 90.00
_cell_angle_beta 90.00
_cell_angle_gamma 90.00
loop_
_atom_site_label
_atom_site_fract_x
_atom_site_fract_y
_atom_site_fract_z
Li1 0.0000 0.0000 0.0000
Np1 0.0000 0.5000 0.2500
Cu1 0.0000 0.0000 0.5000
Cu2 0.0000 0.5000 0.7500
I1 0.0000 0.1963 0.3161
I2 0.0000 0.3138 0.9493
```

Magnetization, μB/cell: 4.47
DFT total energy, eV for the cell shown: -82.2